Entry 1:
# TePd2Ru

Crystalline TePd2Ru at its relaxed geometry (PBE, Alexandria).

The structure in POSCAR format:
```
TePd2Ru
1.0
3.838 0.000 0.000
0.000 3.838 0.000
1.919 1.919 9.646
Ru Te Pd
2 2 4
Cartesian
1.919 1.919 0.000
1.919 3.838 4.823
0.000 0.000 0.000
3.838 1.919 4.823
2.855 0.960 2.411
0.983 2.879 2.411
2.879 2.902 7.234
4.798 4.774 7.234
```

Calculated values
The total moment is 0.000 μB per atom. Its space group is I-42d, No. 122. The formation energy without anion corrections is 0.22 eV per atom.

Entry 2:
# Te6PdRu

Crystalline Te6PdRu at its relaxed geometry (PBE, Alexandria).

The structure in POSCAR format:
```
Te6PdRu
1.0
7.838 -0.479 -3.020
-4.025 7.016 -2.314
-0.175 0.582 8.624
Te Pd Ru
12 2 2
Cartesian
-1.615 5.076 5.067
5.253 2.043 -1.776
3.900 4.616 0.410
-0.262 2.504 2.881
5.883 0.886 2.910
-2.245 6.233 0.381
0.728 5.965 2.177
2.910 1.155 1.114
1.860 5.550 -2.421
1.777 1.569 5.712
2.972 3.618 4.041
0.666 3.502 -0.750
-2.012 3.508 -1.157
3.919 -0.240 -1.510
-0.088 0.291 4.312
1.819 3.560 1.645
```

Calculated values
The total moment is 0.000 μB per atom. Its space group is C2/m, No. 12. The formation energy without anion corrections is -0.12 eV per atom.

Entry 3:
# TePd2Ru2

Crystalline TePd2Ru2 at its relaxed geometry (PBE, Alexandria).

The structure in POSCAR format:
```
TePd2Ru2
1.0
7.735 0.000 0.000
0.000 7.735 0.000
0.000 0.000 2.900
Ru Te Pd
4 2 4
Cartesian
0.863 4.731 1.450
4.731 6.871 1.450
6.871 3.004 1.450
3.004 0.863 1.450
0.000 0.000 0.000
3.867 3.867 0.000
2.467 6.334 0.000
6.334 5.268 0.000
5.268 1.400 0.000
1.400 2.467 0.000
```

Calculated values
The total moment is 0.000 μB per atom. Its space group is P4/mbm, No. 127. The formation energy without anion corrections is 0.49 eV per atom. As for the energy above the most stable polymorph in this dataset: 134.4 meV per atom.

Entry 4:
# TePd3Ru

Crystalline TePd3Ru at its relaxed geometry (PBE, Alexandria).

The structure in POSCAR format:
```
TePd3Ru
1.0
4.891 0.000 0.000
0.000 4.891 0.000
0.000 0.000 4.891
Ru Te Pd
1 1 3
Cartesian
2.446 2.446 2.446
0.000 0.000 0.000
0.000 2.446 0.000
0.000 0.000 2.446
2.446 0.000 0.000
```

Calculated values
The total moment is 0.625 μB per atom. Its space group is Pm-3m, No. 221. The formation energy without anion corrections is 0.99 eV per atom. As for the energy above the most stable polymorph in this dataset: 0.0 meV per atom.

Entry 5:
# TePdRu3

Crystalline TePdRu3 at its relaxed geometry (PBE, Alexandria).

The structure in POSCAR format:
```
TePdRu3
1.0
4.786 0.000 0.000
0.000 4.786 0.000
0.000 0.000 4.786
Ru Te Pd
3 1 1
Cartesian
0.000 2.393 0.000
0.000 0.000 2.393
2.393 0.000 0.000
0.000 0.000 0.000
2.393 2.393 2.393
```

Calculated values
The total moment is 0.712 μB per atom. Its space group is Pm-3m, No. 221. The formation energy without anion corrections is 1.64 eV per atom. As for the energy above the most stable polymorph in this dataset: 0.0 meV per atom.

Entry 6:
# Te2Pd2Ru

Crystalline Te2Pd2Ru at its relaxed geometry (PBE, Alexandria).

The structure in POSCAR format:
```
Te2Pd2Ru
1.0
-2.920 0.162 2.161
-0.085 -3.632 0.156
2.993 -1.580 7.222
Ru Te Pd
1 2 2
Cartesian
0.000 0.000 0.000
-0.557 -1.702 2.434
0.545 -3.347 7.105
-0.715 -1.576 5.271
0.703 -3.473 4.269
```

Calculated values
The total moment is 0.167 μB per atom. Its space group is I4/mmm, No. 139. The formation energy without anion corrections is 0.26 eV per atom.

- What is the formula in the third record?
  TePd2Ru2

- formation energy without anion corrections of number 5 (TePdRu3)?
  1.64 eV per atom

- Look up the total moment of the fourth one.
  0.625 μB per atom

- Among the records above, which one has the highest formation energy without anion corrections?
  TePdRu3